Record 1
Crystalline SrSmU at its relaxed geometry. Source: OQMD, functional PBE-GGA.

VASP energy: -4.43 eV/atom
total magnetic moment: 17.2 Bohr magnetons per cell

a b c (Å): 7.8960 7.8960 7.8960
angles (deg): 90.00 90.00 90.00
Space group F-43m (No. 216)
One atom of each set of equivalent atoms:
1 Sr 0.0000 0.0000 0.0000 (multiplicity 4)
2 Sm 0.2500 0.2500 0.2500 (multiplicity 4)
3 U 0.0000 0.0000 0.5000 (multiplicity 4)

=====

Record 2
Crystalline MgZnNO at its relaxed geometry. Source: OQMD, functional PBE-GGA.

VASP energy: -4.94 eV/atom

a b c (Å): 2.9422 2.9422 4.4550
angles (deg): 90.00 90.00 90.00
Space group P4/mmm (No. 123)
One atom of each set of equivalent atoms:
1 Mg 0.0000 0.0000 0.0000 (multiplicity 1)
2 Zn 0.5000 0.5000 0.5000 (multiplicity 1)
3 N 0.0000 0.0000 0.5000 (multiplicity 1)
4 O 0.5000 0.5000 0.0000 (multiplicity 1)

=====

Record 3
Crystalline Na4InGaAg2 at its relaxed geometry. Source: OQMD, functional PBE-GGA.

VASP energy: -2.14 eV/atom

a b c (Å): 4.9985 4.9985 7.1565
angles (deg): 90.00 90.00 90.00
Space group P-4m2 (No. 115)
One atom of each set of equivalent atoms:
1 Na 0.0000 0.0000 0.0000 (multiplicity 1)
2 Na 0.0000 0.5000 0.2383 (multiplicity 2)
3 Na 0.5000 0.5000 0.5000 (multiplicity 1)
4 In 0.0000 0.0000 0.5000 (multiplicity 1)
5 Ga 0.5000 0.5000 0.0000 (multiplicity 1)
6 Ag 0.0000 0.5000 0.7579 (multiplicity 2)

=====

Record 4
Crystalline NaUBe at its relaxed geometry. Source: OQMD, functional PBE-GGA.

VASP energy: -4.14 eV/atom
total magnetic moment: 12.1 Bohr magnetons per cell

a b c (Å): 6.5446 6.5446 6.5446
angles (deg): 90.00 90.00 90.00
Space group F-43m (No. 216)
One atom of each set of equivalent atoms:
1 Na 0.0000 0.0000 0.0000 (multiplicity 4)
2 U 0.0000 0.0000 0.5000 (multiplicity 4)
3 Be 0.2500 0.2500 0.2500 (multiplicity 4)

=====

Record 5
Crystalline Zr3Ta3Ga2Fe at its relaxed geometry. Source: OQMD, functional PBE-GGA.

VASP energy: -8.71 eV/atom
total magnetic moment: 0.0 Bohr magnetons per cell

a b c (Å): 7.5608 7.5608 3.3253
angles (deg): 90.00 90.00 120.00
Space group P-62m (No. 189)
One atom of each set of equivalent atoms:
1 Zr 0.0000 0.4052 0.0000 (multiplicity 3)
2 Ta 0.0000 0.7546 0.5000 (multiplicity 3)
3 Ga 0.3333 0.6667 0.5000 (multiplicity 2)
4 Fe 0.0000 0.0000 0.0000 (multiplicity 1)

=====

Record 6
Crystalline Sc4CoGeN2 at its relaxed geometry. Source: OQMD, functional PBE-GGA.

VASP energy: -7.79 eV/atom
total magnetic moment: 0.2 Bohr magnetons per cell

a b c (Å): 3.1702 3.1702 13.4124
angles (deg): 90.00 90.00 120.00
Space group P-6m2 (No. 187)
One atom of each set of equivalent atoms:
1 Sc 0.0000 0.0000 0.1433 (multiplicity 2)
2 Sc 0.3333 0.6667 0.3336 (multiplicity 2)
3 Co 0.3333 0.6667 0.0000 (multiplicity 1)
4 Ge 0.0000 0.0000 0.5000 (multiplicity 1)
5 N 0.6667 0.3333 0.2475 (multiplicity 2)

=====

Record 7
Crystalline CsAuSeO at its relaxed geometry. Source: OQMD, functional PBE-GGA.

VASP energy: -3.81 eV/atom

a b c (Å): 6.0325 8.0564 9.6193
angles (deg): 90.00 102.79 90.00
Space group P2_1/c (No. 14)
One atom of each set of equivalent atoms:
1 Cs 0.0772 0.2102 0.4207 (multiplicity 4)
2 Au 0.4630 0.5178 0.7516 (multiplicity 4)
3 Se 0.3464 0.6257 0.4054 (multiplicity 4)
4 O 0.2488 0.6594 0.8462 (multiplicity 4)

=====

Record 8
Crystalline TlCu3Te4Ir at its relaxed geometry. Source: OQMD, functional PBE-GGA.

VASP energy: -3.76 eV/atom
total magnetic moment: 0.0 Bohr magnetons per cell

a b c (Å): 6.3661 6.3661 6.3661
angles (deg): 90.00 90.00 90.00
Space group P-43m (No. 215)
One atom of each set of equivalent atoms:
1 Tl 0.0000 0.0000 0.0000 (multiplicity 1)
2 Cu 0.0000 0.5000 0.5000 (multiplicity 3)
3 Te 0.2681 0.2681 0.2681 (multiplicity 4)
4 Ir 0.5000 0.5000 0.5000 (multiplicity 1)

=====

Record 9
Crystalline BeMoPt at its relaxed geometry. Source: OQMD, functional PBE-GGA.

VASP energy: -6.46 eV/atom
total magnetic moment: 0.0 Bohr magnetons per cell

a b c (Å): 5.8051 5.8051 5.8051
angles (deg): 90.00 90.00 90.00
Space group F-43m (No. 216)
One atom of each set of equivalent atoms:
1 Be 0.0000 0.0000 0.0000 (multiplicity 4)
2 Mo 0.2500 0.2500 0.2500 (multiplicity 4)
3 Pt 0.0000 0.0000 0.5000 (multiplicity 4)

=====

Record 10
Crystalline FeBiAs at its relaxed geometry. Source: OQMD, functional PBE-GGA.

VASP energy: -5.37 eV/atom
total magnetic moment: 7.6 Bohr magnetons per cell

a b c (Å): 6.3124 6.3124 6.3124
angles (deg): 90.00 90.00 90.00
Space group F-43m (No. 216)
One atom of each set of equivalent atoms:
1 Fe 0.0000 0.0000 0.0000 (multiplicity 4)
2 Bi 0.2500 0.2500 0.2500 (multiplicity 4)
3 As 0.2500 0.2500 0.7500 (multiplicity 4)

=====

Record 11
Crystalline RbDyTe at its relaxed geometry. Source: OQMD, functional PBE-GGA.

VASP energy: -3.07 eV/atom
total magnetic moment: 2.3 Bohr magnetons per cell

a b c (Å): 7.6992 7.6992 7.6992
angles (deg): 90.00 90.00 90.00
Space group F-43m (No. 216)
One atom of each set of equivalent atoms:
1 Rb 0.0000 0.0000 0.0000 (multiplicity 4)
2 Dy 0.0000 0.0000 0.5000 (multiplicity 4)
3 Te 0.2500 0.2500 0.7500 (multiplicity 4)

=====

Record 12
Crystalline LuThBi at its relaxed geometry. Source: OQMD, functional PBE-GGA.

VASP energy: -5.29 eV/atom
total magnetic moment: 1.8 Bohr magnetons per cell

a b c (Å): 7.3920 7.3920 7.3920
angles (deg): 90.00 90.00 90.00
Space group F-43m (No. 216)
One atom of each set of equivalent atoms:
1 Lu 0.0000 0.0000 0.0000 (multiplicity 4)
2 Th 0.0000 0.0000 0.5000 (multiplicity 4)
3 Bi 0.2500 0.2500 0.2500 (multiplicity 4)

=====

Record 13
Crystalline MgPaAg at its relaxed geometry. Source: OQMD, functional PBE-GGA.

VASP energy: -4.15 eV/atom
total magnetic moment: 0.1 Bohr magnetons per cell

a b c (Å): 6.7723 6.7723 6.7723
angles (deg): 90.00 90.00 90.00
Space group F-43m (No. 216)
One atom of each set of equivalent atoms:
1 Mg 0.0000 0.0000 0.0000 (multiplicity 4)
2 Pa 0.0000 0.0000 0.5000 (multiplicity 4)
3 Ag 0.2500 0.2500 0.2500 (multiplicity 4)

=====

Record 14
Crystalline UTe at its relaxed geometry. Source: OQMD, functional PBE-GGA.

VASP energy: -7.66 eV/atom
total magnetic moment: 3.6 Bohr magnetons per cell

a b c (Å): 3.7447 3.7447 3.7447
angles (deg): 90.00 90.00 90.00
Space group Pm-3m (No. 221)
One atom of each set of equivalent atoms:
1 U 0.0000 0.0000 0.0000 (multiplicity 1)
2 Te 0.5000 0.5000 0.5000 (multiplicity 1)